Below is an optimized crystal structure of K2MoWO6, with properties calculated at the PBE with a Hubbard U level.

D(E_F) = 0.5 states/eV/f.u.

Geometry as extended XYZ:
```
10
Lattice="5.7357 0.0000 0.0000 0.0000 5.7357 0.0000 0.0000 0.0000 3.9845" Properties=species:S:1:pos:R:3 pbc="T T T"
K 0.0000 2.8678 0.0000
K 2.8678 0.0000 0.0000
Mo 0.0000 0.0000 1.9923
W 2.8678 2.8678 1.9923
O 0.0000 0.0000 0.0000
O 1.4954 1.4954 1.9923
O 1.4954 4.2402 1.9923
O 2.8678 2.8678 0.0000
O 4.2402 1.4954 1.9923
O 4.2402 4.2402 1.9923
```

Below is an optimized crystal structure of KYMoO5, with properties calculated at the PBE with a Hubbard U level.

Geometry as extended XYZ:
```
16
Lattice="3.8807 -5.0972 0.0000 3.8807 5.0972 0.0000 -3.3064 0.0000 7.4117" Properties=species:S:1:pos:R:3 pbc="T T T"
K 1.4009 3.2406 5.5588
K 3.0541 -3.2406 1.8529
Y 3.8807 0.0000 0.0000
Y 2.2275 0.0000 3.7059
Mo 3.0541 3.2536 1.8529
Mo 1.4009 -3.2536 5.5588
O -1.5681 0.7762 6.6793
O 1.9327 2.2061 2.8007
O 0.0851 -0.7762 2.9734
O 4.1755 2.2061 0.9052
O 1.4009 0.6938 5.5588
O 3.0541 -0.6938 1.8529
O 0.2794 -2.2061 6.5066
O 4.3698 0.7762 4.4383
O 2.5223 -2.2061 4.6110
O 6.0230 -0.7762 0.7324
```

Below is an optimized crystal structure of K4Y3MoO8, with properties calculated at the PBE with a Hubbard U level.

D(E_F) = 0.0 states/eV/f.u.

Geometry as extended XYZ:
```
16
Lattice="3.4428 1.9877 6.2291 -3.4428 1.9877 6.2291 0.0000 -3.9754 6.2291" Properties=species:S:1:pos:R:3 pbc="T T T"
K 0.0000 0.0000 0.0000
K -1.7214 -0.9938 6.2291
K -1.7214 0.9938 12.4582
K 0.0000 1.9877 6.2291
Y -3.4428 0.0000 9.3437
Y -1.7214 0.9938 3.1145
Y 1.7214 0.9938 3.1146
Mo 0.0000 0.0000 9.3437
O 0.0000 0.0000 4.2788
O -1.6841 -0.9723 10.4995
O 0.0000 -1.9446 8.1878
O -1.6841 0.9723 8.1878
O 1.6841 -0.9723 10.4995
O 0.0000 1.9446 10.4995
O 1.6841 0.9723 8.1878
O 0.0000 0.0000 14.4086
```

Below is an optimized crystal structure of KYMo2O8, with properties calculated at the PBE with a Hubbard U level.

D(E_F) = 0.0 states/eV/f.u.

Geometry as extended XYZ:
```
48
Lattice="5.1466 0.0000 0.0000 0.0000 18.9223 0.0000 0.0000 0.0000 8.0943" Properties=species:S:1:pos:R:3 pbc="T T T"
K 0.0000 4.2447 2.0236
K 0.0000 14.6776 6.0707
K 2.5733 5.2165 6.0707
K 2.5733 13.7058 2.0236
Y 0.0000 0.0642 6.0707
Y 0.0000 18.8581 2.0236
Y 2.5733 9.3969 2.0236
Y 2.5733 9.5254 6.0707
Mo 0.1161 7.5703 4.1131
Mo 0.1161 11.3520 0.0660
Mo 2.4572 1.8909 0.0660
Mo 2.4572 17.0314 4.1131
Mo 2.6894 1.8909 3.9812
Mo 2.6894 17.0314 8.0283
Mo 5.0305 7.5703 8.0283
Mo 5.0305 11.3520 3.9812
O 0.5145 5.9335 7.9911
O 0.5145 12.9888 3.9440
O 1.2027 7.6577 2.6846
O 1.2027 11.2646 6.7318
O 1.2444 7.7151 5.5305
O 1.2444 11.2072 1.4834
O 1.2774 0.6672 4.0683
O 1.2774 18.2551 0.0211
O 1.2959 8.7939 0.0211
O 1.2959 10.1284 4.0683
O 1.3289 1.7460 1.4834
O 1.3289 17.1763 5.5305
O 1.3706 1.8034 6.7318
O 1.3706 17.1189 2.6846
O 2.0588 3.5277 3.9440
O 2.0588 15.3946 7.9911
O 3.0878 3.5277 0.1032
O 3.0878 15.3946 4.1503
O 3.7760 1.8034 5.4096
O 3.7760 17.1189 1.3625
O 3.8177 1.7460 2.5637
O 3.8177 17.1763 6.6109
O 3.8507 8.7939 4.0260
O 3.8507 10.1284 8.0731
O 3.8692 0.6672 8.0731
O 3.8692 18.2551 4.0260
O 3.9022 7.7151 6.6109
O 3.9022 11.2072 2.5637
O 3.9439 7.6577 1.3625
O 3.9439 11.2646 5.4096
O 4.6321 5.9335 4.1503
O 4.6321 12.9888 0.1032
```

Calculated total energy per entry: -6.57 -7.21 -6.86 -7.29 eV/atom